<one>
CaNbTe2: optimized geometry, PBE.

Computed properties:
Its magnetic moment is 4.0 Bohr magnetons per cell.

Cell lengths 7.258, 7.258, 7.258 Å; angles 90.00, 90.00, 90.00 degrees
Space group Fm-3m (No. 225)
Inequivalent atoms, fractional coordinates:
Ca (0.000, 0.000, 0.000) [4 per cell]
Nb (0.000, 0.000, 0.500) [4 per cell]
Te (0.250, 0.250, 0.250) [8 per cell]


<two>
CaNbTe2: optimized geometry, PBE.

Computed properties:
Its magnetic moment is 12.0 Bohr magnetons per cell.

Cell lengths 6.650, 6.650, 13.987 Å; angles 90.00, 90.00, 90.00 degrees
Space group I-42d (No. 122)
Inequivalent atoms, fractional coordinates:
Ca (0.000, 0.000, 0.000) [4 per cell]
Nb (0.000, 0.000, 0.500) [4 per cell]
Te (0.213, 0.250, 0.625) [8 per cell]


It is <two> that is the least stable of them.


<one>
Ca2Nb2Te: optimized geometry, PBE.

Computed properties:
Its magnetic moment is 0.0 Bohr magnetons per cell.

Cell lengths 3.773, 3.773, 19.520 Å; angles 90.00, 90.00, 90.00 degrees
Space group I4/mmm (No. 139)
Inequivalent atoms, fractional coordinates:
Ca (0.000, 0.000, 0.097) [4 per cell]
Nb (0.000, 0.500, 0.250) [4 per cell]
Te (0.000, 0.000, 0.500) [2 per cell]


<two>
Ca2Nb2Te: optimized geometry, PBE.

Computed properties:
Its magnetic moment is 0.0 Bohr magnetons per cell.

Cell lengths 9.058, 9.058, 3.598 Å; angles 90.00, 90.00, 90.00 degrees
Space group P4/mbm (No. 127)
Inequivalent atoms, fractional coordinates:
Ca (0.202, 0.298, 0.000) [4 per cell]
Nb (0.086, 0.586, 0.500) [4 per cell]
Te (0.000, 0.000, 0.000) [2 per cell]


It is <two> that is the least stable of them.


<one>
Ca2TiNb: optimized geometry, PBE.

Computed properties:
Its magnetic moment is 3.2 Bohr magnetons per cell.

Cell lengths 7.505, 7.505, 7.505 Å; angles 90.00, 90.00, 90.00 degrees
Space group Fm-3m (No. 225)
Inequivalent atoms, fractional coordinates:
Ca (0.250, 0.250, 0.250) [8 per cell]
Ti (0.000, 0.000, 0.000) [4 per cell]
Nb (0.000, 0.000, 0.500) [4 per cell]


<two>
Ca2TiNb: optimized geometry, PBE.

Computed properties:
Its magnetic moment is 5.7 Bohr magnetons per cell.

Cell lengths 8.383, 8.383, 5.820 Å; angles 90.00, 90.00, 90.00 degrees
Space group I-42d (No. 122)
Inequivalent atoms, fractional coordinates:
Ca (0.247, 0.250, 0.125) [8 per cell]
Ti (0.000, 0.000, 0.000) [4 per cell]
Nb (0.000, 0.000, 0.500) [4 per cell]


It is <two> that is the least stable of them.


<one>
Ca3NbTl: optimized geometry, PBE.

Computed properties:
Its magnetic moment is 0.0 Bohr magnetons per cell.

Cell lengths 5.611, 5.611, 5.611 Å; angles 90.00, 90.00, 90.00 degrees
Space group Pm-3m (No. 221)
Inequivalent atoms, fractional coordinates:
Ca (0.000, 0.000, 0.500) [3 per cell]
Nb (0.000, 0.000, 0.000) [1 per cell]
Tl (0.500, 0.500, 0.500) [1 per cell]


<two>
Ca3NbTl: optimized geometry, PBE.

Computed properties:
Its magnetic moment is 4.0 Bohr magnetons per cell.

Cell lengths 5.857, 5.857, 5.857 Å; angles 90.00, 90.00, 90.00 degrees
Space group Pm-3m (No. 221)
Inequivalent atoms, fractional coordinates:
Ca (0.000, 0.000, 0.500) [3 per cell]
Nb (0.500, 0.500, 0.500) [1 per cell]
Tl (0.000, 0.000, 0.000) [1 per cell]


It is <two> that is the least stable of them.


<one>
CaNb2V: optimized geometry, PBE.

Computed properties:
Its magnetic moment is 1.7 Bohr magnetons per cell.

Cell lengths 6.721, 6.721, 6.721 Å; angles 90.00, 90.00, 90.00 degrees
Space group Fm-3m (No. 225)
Inequivalent atoms, fractional coordinates:
Ca (0.000, 0.000, 0.000) [4 per cell]
Nb (0.250, 0.250, 0.250) [8 per cell]
V (0.000, 0.000, 0.500) [4 per cell]


<two>
CaNb2V: optimized geometry, PBE.

Computed properties:
Its magnetic moment is 2.3 Bohr magnetons per cell.

Cell lengths 4.957, 4.957, 17.789 Å; angles 90.00, 90.00, 90.00 degrees
Space group I4_1/amd (No. 141, origin choice 2)
Inequivalent atoms, fractional coordinates:
Ca (0.000, 0.250, 0.375) [4 per cell]
Nb (0.000, 0.000, 0.000) [8 per cell]
V (0.000, 0.250, 0.875) [4 per cell]


It is <two> that is the least stable of them.


<one>
CaNb3V: optimized geometry, PBE.

Computed properties:
Its magnetic moment is 0.0 Bohr magnetons per cell.

Cell lengths 4.799, 4.799, 4.799 Å; angles 90.00, 90.00, 90.00 degrees
Space group Pm-3m (No. 221)
Inequivalent atoms, fractional coordinates:
Ca (0.000, 0.000, 0.000) [1 per cell]
Nb (0.000, 0.500, 0.500) [3 per cell]
V (0.500, 0.500, 0.500) [1 per cell]


<two>
CaNb3V: optimized geometry, PBE.

Computed properties:
Its magnetic moment is 1.9 Bohr magnetons per cell.

Cell lengths 4.748, 4.748, 4.748 Å; angles 90.00, 90.00, 90.00 degrees
Space group Pm-3m (No. 221)
Inequivalent atoms, fractional coordinates:
Ca (0.000, 0.000, 0.000) [1 per cell]
Nb (0.000, 0.000, 0.500) [3 per cell]
V (0.500, 0.500, 0.500) [1 per cell]


It is <two> that is the least stable of them.